1.
This record from Alexandria describes a relaxed KCaAsSe2 crystal. The functional is PBE-GGA.

The structure in extended XYZ format:
```
5
Lattice="5.569 0.000 0.000 0.000 5.569 0.000 0.000 0.000 5.501" Properties=species:S:1:pos:R:3 pbc="T T T"
As 0.000 0.000 2.751
Se 0.000 2.784 0.000
Ca 0.000 0.000 0.000
Se 2.784 0.000 0.000
K 2.784 2.784 2.751
```

Output
- Theoretical density: 3.04 Mg/m³
- Total moment: 0.383 μB per cell
- Offset from the most stable computed form: 0.00 eV per formula unit
- E_form (uncorrected): -0.341 eV per atom

2.
This record from Alexandria describes a relaxed RbInO2 crystal. The functional is PBE-GGA.

The structure in extended XYZ format:
```
32
Lattice="15.260 0.000 -0.107 2.344 4.894 -4.296 -2.344 4.894 4.296" Properties=species:S:1:pos:R:3 pbc="T T T"
O 11.406 1.836 -0.041
O 7.151 7.948 -1.011
Rb 7.410 4.279 3.288
O 9.337 4.294 -1.221
Rb 14.143 1.837 -1.397
Rb 1.117 7.951 1.290
O 4.987 5.561 -2.175
O 12.617 4.333 -2.228
In 10.952 5.518 -1.748
O 8.109 1.841 0.905
Rb 6.513 3.057 -1.343
O 5.924 5.494 1.114
Rb 13.137 4.279 0.848
In 14.283 5.518 -2.708
In 0.978 4.271 2.602
O 2.643 5.455 2.122
In 13.141 7.945 -0.566
In 5.510 6.737 -0.513
O 15.898 4.294 -3.236
In 2.120 1.843 0.459
In 4.308 4.271 1.641
O 11.484 6.730 -0.120
Rb 7.850 5.509 -3.395
O 14.782 6.735 -1.065
O 3.776 3.058 0.013
O 10.273 4.227 2.068
O 0.479 3.053 0.958
In 9.750 3.051 0.406
Rb 2.124 5.509 -0.955
O -0.637 5.494 3.129
Rb 8.748 6.731 1.237
O 3.854 7.952 -0.066
```

Output
- Theoretical density: 4.83 Mg/m³
- Total moment: 0.000 μB per cell
- E_form (uncorrected): -1.476 eV per atom

3.
This record from Alexandria describes a relaxed LiSmY4S8 crystal. The functional is PBE-GGA.

The structure in extended XYZ format:
```
14
Lattice="-6.694 -3.025 -3.246 -4.484 -5.204 4.161 -7.219 2.282 2.825" Properties=species:S:1:pos:R:3 pbc="T T T"
S -7.971 -2.861 -0.765
S -8.087 -0.340 2.313
S -13.707 -4.590 2.739
Li -10.504 -1.094 2.812
Sm -7.174 2.218 2.793
Y -3.693 1.113 1.429
S -4.673 -1.381 0.988
S -11.583 -1.920 0.617
Y -7.881 -4.868 0.919
Y -5.853 -1.393 3.434
Y -6.918 -0.344 -0.134
S -6.803 -4.013 3.151
S -10.429 -3.058 4.486
S -10.342 -5.612 1.435
```

Output
- Theoretical density: 3.46 Mg/m³
- Total moment: 0.000 μB per cell
- E_form (uncorrected): -1.963 eV per atom